PrErTmIn | PBE | optimized geometry

Properties
magnetization	6.22	Bohr magnetons per cell
ΔE_f	-6.9	kJ/mol of atoms
space-group type	F-43m
D(E_F)	23.9	states/eV/cell
offset from the most stable computed form	67	meV per atom

Lattice parameters (Å, degrees): 7.736 7.736 7.736 90.00 90.00 90.00
Fractional coordinates of all 16 atoms:
Pr (0.000, 0.000, 0.000)
Pr (0.000, 0.500, 0.500)
Pr (0.500, 0.000, 0.500)
Pr (0.500, 0.500, 0.000)
Er (0.250, 0.250, 0.750)
Er (0.250, 0.750, 0.250)
Er (0.750, 0.250, 0.250)
Er (0.750, 0.750, 0.750)
Tm (0.250, 0.250, 0.250)
Tm (0.250, 0.750, 0.750)
Tm (0.750, 0.250, 0.750)
Tm (0.750, 0.750, 0.250)
In (0.000, 0.000, 0.500)
In (0.000, 0.500, 0.000)
In (0.500, 0.000, 0.000)
In (0.500, 0.500, 0.500)